Entry 1:
DFT (GGA-PBE) results for a relaxed ZnSb crystal.

Geometry as CIF:
```
data_ZnSb
_chemical_formula_sum 'Zn6 Sb6'
_cell_length_a 5.352
_cell_length_b 9.080
_cell_length_c 5.538
_cell_angle_alpha 90.00
_cell_angle_beta 90.00
_cell_angle_gamma 90.00
_symmetry_space_group_name_H-M 'P 1'
_symmetry_Int_Tables_number 1
loop_
_symmetry_equiv_pos_as_xyz
'x,y,z'
loop_
_atom_site_label
_atom_site_type_symbol
_atom_site_fract_x
_atom_site_fract_y
_atom_site_fract_z
Sb1 Sb 0.917 0.666 0.000
Sb2 Sb 0.925 0.000 0.500
Sb3 Sb 0.420 0.498 0.500
Sb4 Sb 0.425 0.834 0.500
Sb5 Sb 0.417 0.167 0.000
Sb6 Sb 0.920 0.335 0.500
Zn1 Zn 0.409 0.833 0.000
Zn2 Zn 0.904 0.334 0.000
Zn3 Zn 0.909 0.000 0.000
Zn4 Zn 0.424 0.165 0.500
Zn5 Zn 0.404 0.500 0.000
Zn6 Zn 0.924 0.668 0.500
```



Entry 2:
DFT (GGA-PBE) results for a relaxed Sm2Y2CIBr2Cl2 crystal.

Geometry as CIF:
```
data_Sm2Y2CIBr2Cl2
_chemical_formula_sum 'Sm2 Y2 C1 I1 Br2 Cl2'
_cell_length_a 9.158
_cell_length_b 9.158
_cell_length_c 8.463
_cell_angle_alpha 104.16
_cell_angle_beta 104.16
_cell_angle_gamma 24.44
_symmetry_space_group_name_H-M 'P 1'
_symmetry_Int_Tables_number 1
loop_
_symmetry_equiv_pos_as_xyz
'x,y,z'
loop_
_atom_site_label
_atom_site_type_symbol
_atom_site_fract_x
_atom_site_fract_y
_atom_site_fract_z
Br1 Br 0.168 0.168 0.834
Br2 Br 0.832 0.832 0.166
I1 I 0.500 0.500 0.500
Y1 Y 0.000 0.000 0.807
Y2 Y 0.000 0.000 0.193
Cl1 Cl 0.842 0.842 0.676
Cl2 Cl 0.158 0.158 0.324
Sm1 Sm 0.358 0.358 0.920
Sm2 Sm 0.642 0.642 0.080
C1 C 0.500 0.500 0.000
```



Entry 3:
DFT (GGA-PBE) results for a relaxed TlCuTe2IrS crystal.

Geometry as CIF:
```
data_TlCuTe2IrS
_chemical_formula_sum 'Tl2 Cu2 Te4 Ir2 S2'
_cell_length_a 7.743
_cell_length_b 7.743
_cell_length_c 9.538
_cell_angle_alpha 90.00
_cell_angle_beta 90.00
_cell_angle_gamma 150.25
_symmetry_space_group_name_H-M 'P 1'
_symmetry_Int_Tables_number 1
loop_
_symmetry_equiv_pos_as_xyz
'x,y,z'
loop_
_atom_site_label
_atom_site_type_symbol
_atom_site_fract_x
_atom_site_fract_y
_atom_site_fract_z
Te1 Te 0.378 0.622 0.461
Te2 Te 0.622 0.378 0.539
Te3 Te 0.378 0.622 0.039
Te4 Te 0.622 0.378 0.961
Tl1 Tl 0.743 0.257 0.250
Tl2 Tl 0.257 0.743 0.750
Ir1 Ir 0.000 0.000 0.500
Ir2 Ir 0.000 0.000 0.000
Cu1 Cu 0.486 0.514 0.250
Cu2 Cu 0.514 0.486 0.750
S1 S 0.062 0.938 0.250
S2 S 0.938 0.062 0.750
```



Short version: total DFT energy (no corrections) = -2.590, -5.495, -4.313 eV per atom, in the order given.